# 1
A plane-wave DFT calculation with GGA-PBE was carried out for a relaxed structure of Cs4KAu3.

Lattice parameters (Å, degrees): 6.075 6.075 11.198 90.00 90.00 90.00
Atoms (fractional coordinates):
Cs (0.000, 0.500, 0.200)
Cs (0.000, 0.500, 0.800)
Cs (0.500, 0.000, 0.200)
Cs (0.500, 0.000, 0.800)
K (0.000, 0.000, 0.500)
Au (0.000, 0.000, 0.000)
Au (0.500, 0.500, 0.375)
Au (0.500, 0.500, 0.625)

Values from the calculation:
magnetic moment: 0.00 μB/cell
SG: P4/mmm
N(E_F): 3.915 states/eV per cell
mass density: 4668 kg/m3
E_tot: -0.14432 Ry per atom



# 2
A plane-wave DFT calculation with GGA-PBE was carried out for a relaxed structure of CaDy4Ho3Se8.

Lattice parameters (Å, degrees): 8.162 8.162 8.162 59.94 59.94 59.94
Atoms (fractional coordinates):
Ca (0.000, 0.000, 0.000)
Dy (0.000, 0.000, 0.500)
Dy (0.000, 0.500, 0.000)
Dy (0.500, 0.000, 0.000)
Dy (0.500, 0.500, 0.500)
Ho (0.000, 0.500, 0.500)
Ho (0.500, 0.000, 0.500)
Ho (0.500, 0.500, 0.000)
Se (0.250, 0.250, 0.748)
Se (0.250, 0.748, 0.250)
Se (0.251, 0.251, 0.251)
Se (0.252, 0.750, 0.750)
Se (0.748, 0.250, 0.250)
Se (0.749, 0.749, 0.749)
Se (0.750, 0.252, 0.750)
Se (0.750, 0.750, 0.252)

Values from the calculation:
magnetic moment: 0.00 μB/cell
SG: R-3m
N(E_F): 7.996 states/eV per cell
energy relative to the elements, uncorrected: -1763 meV per atom
mass density: 7855 kg/m3



# 3
A plane-wave DFT calculation with GGA-PBE was carried out for a relaxed structure of Tm6GaSe4.

Lattice parameters (Å, degrees): 6.838 6.838 20.439 90.00 90.00 146.42
Atoms (fractional coordinates):
Tm (0.000, 0.000, 0.000)
Tm (0.000, 0.000, 0.500)
Tm (0.163, 0.837, 0.750)
Tm (0.269, 0.731, 0.100)
Tm (0.269, 0.731, 0.400)
Tm (0.441, 0.559, 0.668)
Tm (0.441, 0.559, 0.832)
Tm (0.559, 0.441, 0.168)
Tm (0.559, 0.441, 0.332)
Tm (0.731, 0.269, 0.600)
Tm (0.731, 0.269, 0.900)
Tm (0.837, 0.163, 0.250)
Ga (0.174, 0.826, 0.250)
Ga (0.826, 0.174, 0.750)
Se (0.082, 0.918, 0.624)
Se (0.082, 0.918, 0.876)
Se (0.356, 0.644, 0.537)
Se (0.356, 0.644, 0.963)
Se (0.644, 0.356, 0.037)
Se (0.644, 0.356, 0.463)
Se (0.918, 0.082, 0.124)
Se (0.918, 0.082, 0.376)

Values from the calculation:
magnetic moment: 0.00 μB/cell
SG: Cmcm
N(E_F): 15.260 states/eV per cell
energy relative to the elements, uncorrected: -1338 meV per atom
mass density: 8792 kg/m3